! PBE TaTi4Co5, optimized geometry; values from VASP
! - D(E_F): 10.200 states/eV per cell
! - Total DFT energy (no corrections): -8.234 eV/atom
! - Crystal system: tetragonal
! - DFT formation energy: -0.3377 eV per atom
&SYSTEM
  ibrav = 0, nat = 10, ntyp = 3
/
ATOMIC_SPECIES
Ta 180.95 Ta.upf
Ti 47.87 Ti.upf
Co 58.93 Co.upf
CELL_PARAMETERS angstrom
-0.3302 0.3679 2.8891
-2.0652 -2.0797 0.0288
10.8613 -10.7493 2.6100
ATOMIC_POSITIONS crystal
Ta 0.0000 0.0000 0.0000
Ti 0.0000 0.0000 0.2049
Ti 0.0000 0.0000 0.4020
Ti 0.0000 0.0000 0.5980
Ti 0.0000 0.0000 0.7951
Co 0.5000 0.5000 0.1161
Co 0.5000 0.5000 0.3039
Co 0.5000 0.5000 0.5000
Co 0.5000 0.5000 0.6961
Co 0.5000 0.5000 0.8839